1.
The following is a DFT calculation (GGA-PBE) of a relaxed NpBPt2 crystal.

## Properties
Spin magnetization in μB/cell: 11.91
DFT formation energy in eV/atom: 0.06
DOS(E_F) in states/eV/f.u.: 2.3
Energy in hartree per atom: -0.289

abc: 3.0149 3.0149 25.3161
angles: 90.00 90.00 120.00
Closest atoms and distances in Å follow each position.
Space group R-3m (No. 166, hexagonal axes)
Symmetry-distinct sites (fractional):
1 Np 0.0000 0.0000 0.0000  2 Pt 2.92, 6 Np 3.01
2 B 0.0000 0.0000 0.5000  6 Pt 2.17
3 Pt 0.0000 0.0000 0.1154  3 B 2.17

***

2.
The following is a DFT calculation (GGA-PBE) of a relaxed ZnFeH crystal.

## Properties
Spin magnetization in μB/cell: 5.95
DOS(E_F) in states/eV/f.u.: 1.6
Energy in hartree per atom: -0.154

abc: 12.3600 2.5311 4.2359
angles: 90.00 101.87 90.00
Closest atoms and distances in Å follow each position.
Space group C2/m (No. 12)
Symmetry-distinct sites (fractional):
1 Zn 0.0700 0.0000 0.2897  4 Zn 2.53-2.73, 3 Fe 2.60-2.61, 4 H 2.71-2.83
2 Fe 0.2489 0.0000 0.7427  3 H 1.71-1.72
3 H 0.1741 0.5000 0.8712  3 Fe 1.71-1.72

***

3.
The following is a DFT calculation (GGA-PBE) of a relaxed TiNbRh2 crystal.

## Properties
Spin magnetization in μB/cell: 0.00
DFT formation energy in eV/atom: -0.53
DOS(E_F) in states/eV/f.u.: 5.4
Energy in hartree per atom: -0.320

abc: 4.0869 4.0869 3.7233
angles: 90.00 90.00 90.00
Closest atoms and distances in Å follow each position.
Space group P4/mmm (No. 123)
Symmetry-distinct sites (fractional):
1 Ti 0.0000 0.0000 0.0000  8 Rh 2.76, 4 Nb 2.89
2 Nb 0.5000 0.5000 0.0000  8 Rh 2.76, 4 Ti 2.89
3 Rh 0.0000 0.5000 0.5000  4 Nb 2.76, 4 Ti 2.76, 4 Rh 2.89

***

4.
The following is a DFT calculation (GGA-PBE) of a relaxed Zn2AgMo crystal.

## Properties
Spin magnetization in μB/cell: 0.00
DFT formation energy in eV/atom: 0.16
DOS(E_F) in states/eV/f.u.: 2.0
Energy in hartree per atom: -0.143

abc: 3.7615 3.9140 8.4509
angles: 90.00 90.00 90.00
Closest atoms and distances in Å follow each position.
Space group Cmm2 (No. 35)
Symmetry-distinct sites (fractional):
1 Zn 0.0000 0.0000 0.0000  8 Zn 2.71-2.81, 4 Mo 2.78-2.83
2 Zn 0.0000 0.5000 0.2390  8 Zn 2.71-2.81, 4 Ag 2.83-2.88
3 Ag 0.0000 0.0000 0.4892  4 Ag 2.71, 4 Zn 2.83-2.88, 4 Mo 2.95-3.00
4 Mo 0.0000 0.5000 0.7585  4 Mo 2.71, 4 Zn 2.78-2.83, 4 Ag 2.95-3.00

***

5.
The following is a DFT calculation (GGA-PBE) of a relaxed NpVTc crystal.

## Properties
Spin magnetization in μB/cell: 1.70
DFT formation energy in eV/atom: 0.27
DOS(E_F) in states/eV/f.u.: 4.6
Energy in hartree per atom: -0.387

abc: 2.8553 2.8553 6.9037
angles: 90.00 90.00 120.00
Closest atoms and distances in Å follow each position.
Space group P3m1 (No. 156)
Symmetry-distinct sites (fractional):
1 Np 0.0000 0.0000 0.0000  6 Np 2.86, 3 V 2.97, 3 Tc 3.03
2 V 0.6667 0.3333 0.3586  3 Tc 2.50
3 Tc 0.3333 0.6667 0.6309  3 V 2.50

***

6.
The following is a DFT calculation (GGA-PBE) of a relaxed Ce4P5O crystal.

## Properties
Formation energy (no corrections) in kcal/mol of atoms: -28.2
Spin magnetization in μB/cell: 1.23
DOS(E_F) in states/eV/f.u.: 9.7
Energy in hartree per atom: -0.250

abc: 15.5746 3.9259 7.2259
angles: 90.00 90.19 90.00
Closest atoms and distances in Å follow each position.
Space group C2/m (No. 12)
Symmetry-distinct sites (fractional):
1 Ce 0.0107 0.0000 0.2140  2 O 2.50
2 Ce 0.2176 0.5000 0.7454  6 P 2.72-2.91
3 P 0.0000 0.5000 0.5000  4 Ce 2.86, 4 P 2.93
4 P 0.1400 0.0000 0.5002  5 Ce 2.85-3.13, 2 P 2.93
5 P 0.1590 0.0000 0.9876  5 Ce 2.72-3.01
6 O 0.0000 0.5000 0.0000  4 Ce 2.50

***

7.
The following is a DFT calculation (GGA-PBE) of a relaxed RbTaZn2Bi crystal.

## Properties
Spin magnetization in μB/cell: 0.00
DFT formation energy in eV/atom: 0.35
DOS(E_F) in states/eV/f.u.: 3.8
Energy in hartree per atom: -0.128

abc: 5.3186 5.3186 5.4557
angles: 90.00 90.00 90.00
Closest atoms and distances in Å follow each position.
Space group P4/mmm (No. 123)
Symmetry-distinct sites (fractional):
1 Rb 0.0000 0.0000 0.0000  4 Bi 3.76, 8 Zn 3.81
2 Ta 0.5000 0.5000 0.5000  4 Zn 2.66, 2 Bi 2.73
3 Zn 0.0000 0.5000 0.5000  2 Ta 2.66
4 Bi 0.5000 0.5000 0.0000  2 Ta 2.73

***

8.
The following is a DFT calculation (GGA-PBE) of a relaxed YSiSe2 crystal.

## Properties
Formation energy (no corrections) in kcal/mol of atoms: -13.3
Spin magnetization in μB/cell: 0.00
DOS(E_F) in states/eV/f.u.: 5.2
Energy in hartree per atom: -0.194

abc: 7.0420 7.0420 7.0420
angles: 90.00 90.00 90.00
Closest atoms and distances in Å follow each position.
Space group Fm-3m (No. 225)
Symmetry-distinct sites (fractional):
1 Y 0.0000 0.0000 0.0000  8 Se 3.05
2 Si 0.0000 0.0000 0.5000  8 Se 3.05
3 Se 0.2500 0.2500 0.2500  4 Si 3.05, 4 Y 3.05

***

9.
The following is a DFT calculation (GGA-PBE) of a relaxed SnH2Cl6 crystal.

## Properties
Spin magnetization in μB/cell: 0.01
DOS(E_F) in states/eV/f.u.: 0.0
Energy in hartree per atom: -0.115

abc: 14.1709 12.3789 6.2253
angles: 90.00 96.65 90.00
Closest atoms and distances in Å follow each position.
Space group C2/c (No. 15)
Symmetry-distinct sites (fractional):
1 Sn 0.0000 0.0964 0.2500  4 Cl 2.35-2.53
2 H 0.1277 0.4767 0.7848  1 Cl 1.30
3 Cl 0.0985 0.0636 0.6097  2 Sn 2.53-2.63
4 Cl 0.1107 0.2181 0.1351  1 Sn 2.35
5 Cl 0.1315 0.4169 0.6142  1 H 1.30

***

10.
The following is a DFT calculation (GGA-PBE) of a relaxed Ca2CoAs crystal.

## Properties
Spin magnetization in μB/cell: 2.74
DFT formation energy in eV/atom: -0.13
DOS(E_F) in states/eV/f.u.: 3.9
Energy in hartree per atom: -0.149

abc: 4.2203 4.2203 9.9319
angles: 90.00 90.00 90.00
Closest atoms and distances in Å follow each position.
Space group I-4m2 (No. 119)
Symmetry-distinct sites (fractional):
1 Ca 0.0000 0.0000 0.0000  4 As 2.98, 4 Co 3.26, 4 Ca 3.26
2 Ca 0.0000 0.5000 0.2500  4 Co 2.98, 4 As 3.26, 4 Ca 3.26
3 Co 0.0000 0.5000 0.7500  8 Ca 2.98-3.26, 4 As 3.26
4 As 0.0000 0.0000 0.5000  8 Ca 2.98-3.26, 4 Co 3.26

***

11.
The following is a DFT calculation (GGA-PBE) of a relaxed MgIn3Pb crystal.

## Properties
Spin magnetization in μB/cell: 0.00
DFT formation energy in eV/atom: 0.35
DOS(E_F) in states/eV/f.u.: 3.4
Energy in hartree per atom: -0.087

abc: 5.4464 5.4464 5.4464
angles: 90.00 90.00 90.00
Closest atoms and distances in Å follow each position.
Space group Pm-3m (No. 221)
Symmetry-distinct sites (fractional):
1 Mg 0.0000 0.0000 0.0000  6 In 2.72
2 In 0.0000 0.0000 0.5000  2 Mg 2.72
3 Pb 0.5000 0.5000 0.5000  12 In 3.85

***

12.
The following is a DFT calculation (GGA-PBE) of a relaxed DyFe5P3 crystal.

## Properties
Spin magnetization in μB/cell: 20.88
DFT formation energy in eV/atom: -0.66
DOS(E_F) in states/eV/f.u.: 5.8
Energy in hartree per atom: -0.282

abc: 3.7056 11.8835 10.7036
angles: 90.00 90.00 90.00
Closest atoms and distances in Å follow each position.
Space group Cmcm (No. 63)
Symmetry-distinct sites (fractional):
1 Dy 0.0000 0.1752 0.2500  6 P 2.92-3.19, 4 Fe 3.16
2 Fe 0.0000 0.0000 0.0000  6 Fe 2.36-2.43, 4 P 2.47
3 Fe 0.0000 0.1904 0.5632  4 P 2.14-2.30, 1 Fe 2.36
4 Fe 0.0000 0.4597 0.1392  4 P 2.25-2.34, 3 Fe 2.37-2.43
5 P 0.0000 0.1068 0.7500  6 Fe 2.23-2.34
6 P 0.0000 0.3695 0.5455  5 Fe 2.14-2.30